[1]
CrAgSnCl6 (GGA-PBE, relaxed); SG = C2, No. 5; ρ = 3.5 Mg/m³; V = 230.59 Å³/cell; ΔE_f (raw) = -0.88 eV/atom; raw total energy = -0.290 Ry per atom
1.0
3.3259 -5.7688 0.0000
3.3259 5.7688 0.0000
-0.0055 0.0000 6.0091
Cr Ag Sn Cl
1 1 1 6
Direct
0.0000 0.0000 0.0000 Cr
0.3331 0.6669 0.0000 Ag
0.6665 0.3335 0.5000 Sn
0.0024 0.7097 0.2289 Cl
0.0027 0.2928 0.7711 Cl
0.2903 0.9976 0.7711 Cl
0.2906 0.2932 0.2292 Cl
0.7068 0.7094 0.7708 Cl
0.7072 0.9973 0.2289 Cl



[2]
TlCrAg2Cl6 (GGA-PBE, relaxed); SG = C2/c, No. 15; ρ = 3.8 Mg/m³; V = 599.38 Å³/cell; ΔE_f (raw) = -0.73 eV/atom; raw total energy = -0.265 Ry per atom
1.0
6.7400 -6.0293 0.0000
6.7400 6.0293 0.0000
-3.8385 0.0000 7.3747
Tl Cr Ag Cl
2 2 4 12
Direct
0.1636 0.8364 0.7500 Tl
0.8364 0.1636 0.2500 Tl
0.1938 0.8062 0.2500 Cr
0.8062 0.1938 0.7500 Cr
0.3530 0.4134 0.8383 Ag
0.4134 0.3530 0.3383 Ag
0.5866 0.6470 0.6617 Ag
0.6470 0.5866 0.1617 Ag
0.0230 0.1945 0.6870 Cl
0.1345 0.6207 0.9746 Cl
0.1945 0.0230 0.1870 Cl
0.2581 0.4626 0.5432 Cl
0.3793 0.8655 0.5254 Cl
0.4626 0.2581 0.0432 Cl
0.5374 0.7419 0.9568 Cl
0.6207 0.1345 0.4746 Cl
0.7419 0.5374 0.4568 Cl
0.8055 0.9770 0.8130 Cl
0.8655 0.3793 0.0254 Cl
0.9770 0.8055 0.3130 Cl



[3]
Tl3CrAg3Cl8 (GGA-PBE, relaxed); SG = C2/m, No. 12; ρ = 5.0 Mg/m³; V = 420.33 Å³/cell; ΔE_f (raw) = -0.74 eV/atom; raw total energy = -0.250 Ry per atom
1.0
7.0265 -4.0715 0.0000
7.0265 4.0715 0.0000
-4.6931 0.0000 7.3463
Tl Cr Ag Cl
3 1 3 8
Direct
0.0000 0.0000 0.0000 Tl
0.0000 0.5000 0.0000 Tl
0.5000 0.0000 0.0000 Tl
0.0000 0.0000 0.5000 Cr
0.0000 0.5000 0.5000 Ag
0.5000 0.0000 0.5000 Ag
0.5000 0.5000 0.5000 Ag
0.2134 0.7625 0.6905 Cl
0.2139 0.2139 0.6909 Cl
0.2375 0.7866 0.3095 Cl
0.2670 0.2670 0.2995 Cl
0.7330 0.7330 0.7005 Cl
0.7625 0.2134 0.6905 Cl
0.7861 0.7861 0.3091 Cl
0.7866 0.2375 0.3095 Cl



[4]
CsAg4Cl7 (GGA-PBE, relaxed); SG = Imm2, No. 44; ρ = 4.1 Mg/m³; V = 327.37 Å³/cell; ΔE_f (raw) = -0.69 eV/atom; raw total energy = -0.205 Ry per atom
1.0
-2.6299 10.1026 3.0803
2.6299 -10.1026 3.0803
2.6299 10.1026 -3.0803
Cs Ag Cl
1 4 7
Direct
0.0000 0.0000 0.0000 Cs
0.2377 0.4934 0.7444 Ag
0.3767 0.9986 0.3781 Ag
0.6205 0.9986 0.6219 Ag
0.7490 0.4934 0.2556 Ag
0.1141 0.4915 0.6227 Cl
0.2454 0.9933 0.2522 Cl
0.3629 0.4934 0.8695 Cl
0.4928 0.9928 0.5000 Cl
0.6239 0.4934 0.1305 Cl
0.7411 0.9933 0.7478 Cl
0.8688 0.4915 0.3773 Cl



[5]
CsAg2Cl4 (GGA-PBE, relaxed); SG = P-42m, No. 111; ρ = 3.1 Mg/m³; V = 263.60 Å³/cell; ΔE_f (raw) = -0.78 eV/atom; energy relative to the lowest polymorph listed for this composition = 0.00 eV/f.u.; raw total energy = -0.204 Ry per atom
1.0
5.6673 0.0000 0.0000
0.0000 5.6673 0.0000
0.0000 0.0000 8.2072
Cs Ag Cl
1 2 4
Direct
0.0000 0.0000 0.0000 Cs
0.0000 0.5000 0.5000 Ag
0.5000 0.0000 0.5000 Ag
0.2747 0.2747 0.6880 Cl
0.2747 0.7253 0.3120 Cl
0.7253 0.2747 0.3120 Cl
0.7253 0.7253 0.6880 Cl



[6]
Cs6AgCl (GGA-PBE, relaxed); SG = P-31c, No. 163; ρ = 2.4 Mg/m³; V = 1275.94 Å³/cell; ΔE_f (raw) = -0.44 eV/atom; raw total energy = -0.123 Ry per atom
1.0
9.1866 0.0000 0.0000
-4.5933 7.9558 0.0000
0.0000 0.0000 17.4580
Cs Ag Cl
12 2 2
Direct
0.0095 0.3200 0.1213 Cs
0.0095 0.6895 0.3787 Cs
0.3105 0.3200 0.3787 Cs
0.3105 0.9905 0.1213 Cs
0.3200 0.0095 0.6213 Cs
0.3200 0.3105 0.8787 Cs
0.6800 0.6895 0.1213 Cs
0.6800 0.9905 0.3787 Cs
0.6895 0.0095 0.8787 Cs
0.6895 0.6800 0.6213 Cs
0.9905 0.3105 0.6213 Cs
0.9905 0.6800 0.8787 Cs
0.3333 0.6667 0.2500 Ag
0.6667 0.3333 0.7500 Ag
0.0000 0.0000 0.0000 Cl
0.0000 0.0000 0.5000 Cl



Q: Which of these has the lowest V?
A: CrAgSnCl6